OsW2O2: relaxed, PBE+U.

a = 3.2789 Å, b = 3.2789 Å, c = 11.8773 Å
α = 90.00°, β = 90.00°, γ = 90.00°
With the nearest neighbours (Å) after each atom.
Space group I4/mmm (No. 139)
Unique sites:
Os  0.0000  0.0000  0.0000 (multiplicity 2)  8 W 2.83
W  0.0000  0.0000  0.3641 (multiplicity 4)  4 O 2.13
O  0.0000  0.5000  0.2500 (multiplicity 4)  4 W 2.13, 4 O 2.32

Volume ... 12.77 A^3/atom
E above lowest polymorph ... 0.0 meV/atom
Density ... 15.34 g/cm3